The following is a PBE-GGA calculation of a relaxed structure of DyBO5, from OQMD.

- Calculated density: 5.414 g cm⁻³
- E_tot: -7.1446 eV per atom
- Crystal system: triclinic

abc: 4.2146 4.2999 4.8280
angles: 110.05 107.28 91.45
Last column: magnetic moment on the atom in μB.
Atoms (fractional coordinates):
B  0.5113  0.3256  0.0710  -0.01
Dy  0.8071  0.8122  0.7959  0.02
O  0.4802  0.5720  0.3218  0.21
O  0.9939  0.0402  0.4000  0.61
O  0.1140  0.3470  0.5294  0.71
O  0.7382  0.3736  0.9259  0.07
O  0.3553  0.9988  0.9561  0.07